Record 1
## PaSn2PdN (GGA-PBE)

Data for a relaxed PaSn2PdN crystal.

E_form (uncorrected) = -0.75 eV/atom
spin magnetization = 0.00 μB per formula unit
density of states at the Fermi level = 5.13 states/eV/f.u.
total DFT energy (no corrections) = -6.950 eV per atom
mass density = 8.7 g/cm3
space group = P4/nmm, No. 129

```
10
Lattice="3.8229 0.0000 0.0000 0.0000 3.8229 0.0000 0.0000 0.0000 15.3721" Properties=species:S:1:pos:R:3 pbc="T T T"
Sn 1.9115 0.0000 14.2233
Sn 0.0000 1.9115 10.9801
Pa 0.0000 1.9115 6.4819
Pa 1.9115 0.0000 8.8902
Pd 1.9115 0.0000 1.7046
Sn 1.9115 0.0000 4.3920
Pd 0.0000 1.9115 13.6675
Sn 0.0000 1.9115 1.1488
N 0.0000 0.0000 7.6861
N 1.9115 1.9115 7.6861
```

Record 2
## SrPa2PdN5 (GGA-PBE)

Data for a relaxed SrPa2PdN5 crystal.

E_form (uncorrected) = -0.91 eV/atom
spin magnetization = 0.00 μB per formula unit
density of states at the Fermi level = 6.39 states/eV/f.u.
total DFT energy (no corrections) = -8.409 eV per atom
mass density = 9.2 g/cm3
space group = I4/mcm, No. 140

```
18
Lattice="6.6303 0.0000 0.0000 0.0000 6.6303 0.0000 -3.3151 -3.3151 5.9500" Properties=species:S:1:pos:R:3 pbc="T T T"
N 0.9393 2.3758 4.5386
Pd 3.3151 0.0000 2.9750
N 0.9393 4.2545 1.4114
N 0.0000 0.0000 0.0000
Sr 0.0000 0.0000 2.9750
N 5.6909 2.3758 1.4114
Pa 4.4921 1.1770 0.0000
N 2.3758 0.9393 1.4114
N -2.3758 0.9393 4.5386
Pa 1.1770 2.1382 0.0000
Pa 5.4533 4.4921 0.0000
Sr 3.3151 3.3151 2.9750
N 2.3758 -0.9393 4.5386
N 3.3151 3.3151 0.0000
Pd 0.0000 3.3151 2.9750
N -0.9393 -2.3758 4.5386
Pa 2.1382 5.4533 0.0000
N 4.2545 5.6909 1.4114
```

Record 3
## TbPaPdN3 (GGA-PBE)

Data for a relaxed TbPaPdN3 crystal.

E_form (uncorrected) = -1.00 eV/atom
spin magnetization = 0.00 μB per formula unit
density of states at the Fermi level = 1.45 states/eV/f.u.
total DFT energy (no corrections) = -8.380 eV per atom
mass density = 8.6 g/cm3
space group = P2_1/m, No. 11

```
12
Lattice="-1.1683 -1.0771 -3.1504 1.4457 -8.7923 2.4700 -6.0692 0.4321 2.1030" Properties=species:S:1:pos:R:3 pbc="T T T"
Pd -3.7021 -0.8564 0.6778
Tb -2.0600 -3.0968 0.8348
Pa -0.1027 -6.0271 1.1109
Pa -5.6890 -3.4102 0.3118
N -3.8494 -2.4386 -0.7026
N -0.0292 -2.5917 -0.0910
Tb -3.7317 -6.3405 0.5879
N -4.0997 -4.2383 1.9815
N -1.6920 -5.1990 -0.5588
N -1.9423 -6.9987 2.1253
N -5.7625 -6.8456 1.5137
Pd -2.0896 -8.5809 0.7449
```

Record 4
## Pa2Te2PdN2 (GGA-PBE)

Data for a relaxed Pa2Te2PdN2 crystal.

E_form (uncorrected) = -0.87 eV/atom
spin magnetization = 0.00 μB per formula unit
density of states at the Fermi level = 1.02 states/eV/f.u.
total DFT energy (no corrections) = -7.601 eV per atom
mass density = 8.6 g/cm3
space group = P-3m1, No. 164

```
7
Lattice="-2.9086 1.1125 -2.2953 -0.7054 -0.9969 3.6708 1.7487 11.9749 3.5881" Properties=species:S:1:pos:R:3 pbc="T T T"
Pa 0.0074 9.6164 4.6516
N -1.2228 1.1921 2.1273
Pd 0.0000 0.0000 0.0000
Te 0.5915 4.0506 1.2137
Te 1.1572 7.9243 2.3744
N -0.6425 10.8984 2.8363
Pa -1.8727 2.4741 0.3121
```

Record 5
## PaTe2PdN (GGA-PBE)

Data for a relaxed PaTe2PdN crystal.

E_form (uncorrected) = -1.05 eV/atom
spin magnetization = 0.00 μB per formula unit
density of states at the Fermi level = 3.02 states/eV/f.u.
total DFT energy (no corrections) = -6.913 eV per atom
mass density = 9.1 g/cm3
space group = P4/nmm, No. 129

```
10
Lattice="3.9483 0.0000 0.0000 0.0000 3.9483 0.0000 0.0000 0.0000 14.2806" Properties=species:S:1:pos:R:3 pbc="T T T"
Pa 1.9742 0.0000 8.3192
Pd 0.0000 1.9742 12.7620
N 0.0000 0.0000 7.1403
N 1.9742 1.9742 7.1403
Te 1.9742 0.0000 4.2270
Te 0.0000 1.9742 1.1733
Te 0.0000 1.9742 10.0536
Pa 0.0000 1.9742 5.9615
Te 1.9742 0.0000 13.1073
Pd 1.9742 0.0000 1.5186
```

Record 6
## TmPa2PdN5 (GGA-PBE)

Data for a relaxed TmPa2PdN5 crystal.

E_form (uncorrected) = -1.06 eV/atom
spin magnetization = 0.00 μB per formula unit
density of states at the Fermi level = 0.45 states/eV/f.u.
total DFT energy (no corrections) = -8.870 eV per atom
mass density = 11.0 g/cm3
space group = Cmc2_1, No. 36

```
18
Lattice="3.4883 0.0000 0.0000 -1.7442 6.5036 0.0000 0.0000 0.0000 10.7089" Properties=species:S:1:pos:R:3 pbc="T T T"
N 1.7442 0.3176 2.9290
N 0.0000 4.1981 3.8082
Pa 1.7442 5.1996 1.8739
N 0.0000 4.8696 0.2646
N 0.0000 6.1860 8.2835
N 1.7442 5.7717 6.3964
Pa 1.7442 4.6162 8.3649
N 0.0000 0.7319 1.0420
Tm 0.0000 2.6349 10.6463
N 0.0000 3.5748 7.1727
Pa 0.0000 1.8874 3.0104
N 1.7442 1.6340 5.6191
Pa 0.0000 1.3040 7.2283
Pd 0.0000 6.1822 4.8491
N 1.7442 2.3055 9.1627
Tm 1.7442 3.8687 5.2918
Pd 1.7442 0.3214 10.2035
N 1.7442 2.9288 1.8182
```

Record 7
## Tm2PaPdN4 (GGA-PBE)

Data for a relaxed Tm2PaPdN4 crystal.

E_form (uncorrected) = -1.21 eV/atom
spin magnetization = 0.00 μB per formula unit
density of states at the Fermi level = 4.01 states/eV/f.u.
total DFT energy (no corrections) = -8.323 eV per atom
mass density = 10.7 g/cm3
space group = P2/m, No. 10

```
8
Lattice="3.5792 0.0000 0.0000 0.0000 5.6102 0.3619 0.0000 -1.6977 5.5408" Properties=species:S:1:pos:R:3 pbc="T T T"
N 1.7896 2.6771 4.2520
Tm 1.7896 -0.8489 2.7704
Tm 0.0000 1.9562 2.9513
N 1.7896 1.2354 1.6506
N 0.0000 3.8148 1.6329
N 0.0000 0.0977 4.2697
Pa 1.7896 2.8051 0.1809
Pd 0.0000 0.0000 0.0000
```

Record 8
## UPa2PdN5 (GGA-PBE)

Data for a relaxed UPa2PdN5 crystal.

E_form (uncorrected) = -1.07 eV/atom
spin magnetization = 0.39 μB per formula unit
density of states at the Fermi level = 3.44 states/eV/f.u.
total DFT energy (no corrections) = -9.634 eV per atom
mass density = 11.6 g/cm3
space group = Cmc2_1, No. 36

```
18
Lattice="3.4472 0.0000 0.0000 -1.7236 6.5401 0.0000 0.0000 0.0000 11.1575" Properties=species:S:1:pos:R:3 pbc="T T T"
N 0.0000 3.8351 7.2786
U 1.7236 4.0128 5.5793
N 0.0000 0.6259 0.8796
N 1.7236 2.7050 1.6999
N 1.7236 2.8355 9.6012
Pa 1.7236 4.8758 8.6576
N 0.0000 6.4951 2.9526
N 0.0000 4.5556 0.5976
Pd 0.0000 6.3762 10.6542
N 1.7236 1.9845 6.1764
Pa 0.0000 1.6643 3.0789
N 1.7236 5.9143 6.4584
Pa 1.7236 5.0218 2.0437
U 0.0000 2.5273 0.0005
N 1.7236 0.0451 8.5313
N 0.0000 3.7046 4.0225
Pa 0.0000 1.5183 7.6225
Pd 1.7236 0.1639 5.0755
```

Record 9
## YPa2PdN5 (GGA-PBE)

Data for a relaxed YPa2PdN5 crystal.

E_form (uncorrected) = -1.02 eV/atom
spin magnetization = 0.00 μB per formula unit
density of states at the Fermi level = 0.35 states/eV/f.u.
total DFT energy (no corrections) = -9.052 eV per atom
mass density = 9.7 g/cm3
space group = Cmc2_1, No. 36

```
18
Lattice="-2.6557 -1.8521 1.3846 2.5967 -3.9609 -4.7954 6.8442 -4.3543 7.3027" Properties=species:S:1:pos:R:3 pbc="T T T"
N 3.2255 -4.7095 -0.1130
Pa 4.8654 -7.7548 3.4367
Pa 2.2432 -2.6182 0.8003
N 0.6503 -2.4338 2.4696
Y 2.7775 -5.9550 1.8397
N 6.5140 -7.9747 1.8269
N 0.8103 -0.9830 0.2393
N 1.2104 -3.8480 -2.8255
Y 7.2928 -6.3024 5.5575
N 0.4046 -3.8754 0.0702
N 5.2744 -5.5882 2.6416
N 4.9355 -6.3330 5.4730
Pa 0.8912 -5.6032 -1.3077
N 2.6589 -4.4642 3.6062
Pd 4.3116 -6.6378 -0.6089
Pd 5.2521 -5.2972 7.4656
N 3.8826 -7.8531 1.4203
Pa 4.8788 -3.9182 4.1165
```

Record 10
## Pa2ZnPdN5 (GGA-PBE)

Data for a relaxed Pa2ZnPdN5 crystal.

E_form (uncorrected) = -0.61 eV/atom
spin magnetization = 0.00 μB per formula unit
density of states at the Fermi level = 3.35 states/eV/f.u.
total DFT energy (no corrections) = -8.061 eV per atom
mass density = 10.6 g/cm3
space group = Cmc2_1, No. 36

```
18
Lattice="-2.7731 1.6609 1.0731 -1.1231 -1.0417 -6.6951 -4.2771 -8.4544 2.0329" Properties=species:S:1:pos:R:3 pbc="T T T"
N -4.2879 -5.7425 -2.1925
Pd -1.0446 -0.1270 -2.5029
Pa -6.6260 -6.0664 -2.3284
Pd -5.0314 -3.5626 -2.0831
Zn -5.7183 -7.4499 2.1586
N -5.8115 -6.8005 -4.4924
N -6.1087 -4.2039 -3.8743
N -2.9619 -2.9458 -3.0948
N -4.2413 -3.4927 -0.1494
N -1.8311 -0.1898 -4.4383
Zn -4.4046 -4.2392 -4.8211
Pa -3.5259 -5.8714 -0.0239
N -0.5492 -0.6359 -0.4350
Pa -1.9542 -2.5732 -1.0673
N -2.6159 -1.5372 1.0241
N -5.9224 -6.2950 -0.1563
Pa -4.1230 -0.9273 -3.8144
N -3.1570 -0.6530 -1.7428
```

Record 11
## PmPa3N4 (GGA-PBE)

Data for a relaxed PmPa3N4 crystal.

E_form (uncorrected) = -1.60 eV/atom
spin magnetization = 0.00 μB per formula unit
density of states at the Fermi level = 4.57 states/eV/f.u.
total DFT energy (no corrections) = -9.913 eV per atom
mass density = 12.0 g/cm3
space group = Cmmm, No. 65

```
8
Lattice="-3.0955 -0.4677 -1.6293 1.0452 -6.0014 -0.2628 -2.2283 -2.6801 5.0030" Properties=species:S:1:pos:R:3 pbc="T T T"
Pa -5.3235 -3.1485 3.3736
Pa -2.6616 -1.5745 1.6867
N -3.4406 -2.5884 -0.3646
Pa -3.6867 -4.8091 0.7407
N -1.3271 -5.4525 0.2646
N -2.9510 -3.6979 2.8461
Pm -3.2532 -5.9153 4.0568
N -3.9329 -7.0298 1.8459
```

Record 12
## PmPaN3 (GGA-PBE)

Data for a relaxed PmPaN3 crystal.

E_form (uncorrected) = -1.34 eV/atom
spin magnetization = 0.00 μB per formula unit
density of states at the Fermi level = 0.40 states/eV/f.u.
total DFT energy (no corrections) = -9.182 eV per atom
mass density = 8.8 g/cm3
space group = C2/m, No. 12

```
10
Lattice="3.5227 0.0000 0.0000 -1.7613 6.2263 0.0214 0.0000 -0.5012 7.2166" Properties=species:S:1:pos:R:3 pbc="T T T"
Pm 0.0000 4.3925 4.3947
N 0.0000 3.1854 2.3557
N 1.7613 2.5396 4.8822
N 0.0000 0.0923 4.2384
Pa 0.0000 1.5730 6.0818
Pa 1.7613 4.1520 1.1561
N 1.7613 5.6327 2.9995
N 0.0000 3.7627 6.9916
Pm 1.7613 1.3325 2.8432
N 1.7613 1.9623 0.2463
```

Record 13
## Pm4PaN4 (GGA-PBE)

Data for a relaxed Pm4PaN4 crystal.

E_form (uncorrected) = -1.34 eV/atom
spin magnetization = 0.00 μB per formula unit
density of states at the Fermi level = 6.01 states/eV/f.u.
total DFT energy (no corrections) = -8.208 eV per atom
mass density = 8.7 g/cm3
space group = C2/m, No. 12

```
9
Lattice="-3.0003 1.3091 1.4807 -3.3936 -4.9352 1.8457 1.4622 -0.6306 7.8789" Properties=species:S:1:pos:R:3 pbc="T T T"
N -2.2971 -0.6896 9.0312
Pm -1.7407 -3.0779 7.9116
Pa -1.5002 0.6546 0.7404
Pm -4.8938 -3.1498 5.9449
Pm -0.0379 -1.1068 5.2605
N -4.0923 -4.0046 8.3246
N -2.6346 -3.5671 2.1741
Pm -3.1910 -1.1787 3.2938
N -0.8394 -0.2520 2.8807
```

Record 14
## PmPaN3 (GGA-PBE)

Data for a relaxed PmPaN3 crystal.

E_form (uncorrected) = -0.96 eV/atom
spin magnetization = 0.00 μB per formula unit
density of states at the Fermi level = 2.45 states/eV/f.u.
total DFT energy (no corrections) = -8.804 eV per atom
mass density = 8.5 g/cm3
space group = Pm-3m, No. 221

```
5
Lattice="4.3345 0.0000 0.0000 0.0000 4.3345 0.0000 0.0000 0.0000 4.3345" Properties=species:S:1:pos:R:3 pbc="T T T"
N 0.0000 0.0000 2.1672
N 0.0000 2.1672 0.0000
N 2.1672 0.0000 0.0000
Pa 0.0000 0.0000 0.0000
Pm 2.1672 2.1672 2.1672
```

Record 15
## Pm5PaN6 (GGA-PBE)

Data for a relaxed Pm5PaN6 crystal.

E_form (uncorrected) = -1.55 eV/atom
spin magnetization = 0.00 μB per formula unit
density of states at the Fermi level = 3.37 states/eV/f.u.
total DFT energy (no corrections) = -8.481 eV per atom
mass density = 8.8 g/cm3
space group = C2/m, No. 12

```
12
Lattice="-0.3078 -6.1359 0.9290 5.6846 -2.2043 1.2453 2.0160 -0.2653 5.8761" Properties=species:S:1:pos:R:3 pbc="T T T"
Pm 2.6884 -4.1701 1.0872
N 3.3717 -5.7223 5.2434
N 4.0211 -2.8832 2.8070
N 1.2464 -1.9669 0.5094
Pm 5.2546 -4.9926 3.4655
Pm 5.1334 -1.6461 4.7498
N 6.5509 -3.6689 5.4164
N 4.1305 -6.3733 1.6649
Pa 0.0000 0.0000 0.0000
Pm 2.5672 -0.8236 2.3717
Pm 2.1383 -3.6129 4.5849
N 0.8419 -4.9366 2.6341
```

Record 16
## PmPa5N6 (GGA-PBE)

Data for a relaxed PmPa5N6 crystal.

E_form (uncorrected) = -1.61 eV/atom
spin magnetization = 0.00 μB per formula unit
density of states at the Fermi level = 7.54 states/eV/f.u.
total DFT energy (no corrections) = -10.125 eV per atom
mass density = 12.5 g/cm3
space group = C2/m, No. 12

```
12
Lattice="6.0161 0.1480 0.9146 1.4790 5.1063 2.9768 0.1020 0.0581 6.0851" Properties=species:S:1:pos:R:3 pbc="T T T"
N 4.6361 0.5678 3.0225
Pa 1.0545 3.4446 6.0383
N 2.4217 2.9750 4.0221
Pa 3.7475 2.6271 1.9457
N 1.9067 1.3601 1.0027
N 5.1754 2.3373 5.9545
N 5.5883 3.8942 2.8888
Pa 0.5266 1.7198 3.0236
Pa 4.2774 4.3597 4.9459
N 2.9610 4.7446 6.9541
Pm 0.0000 0.0000 0.0000
Pa 3.3197 0.9526 5.0307
```

Record 17
## Pm3PaN4 (GGA-PBE)

Data for a relaxed Pm3PaN4 crystal.

E_form (uncorrected) = -1.40 eV/atom
spin magnetization = 0.00 μB per formula unit
excess energy over the best structure of this formula in the dataset = 0.152 eV per atom
density of states at the Fermi level = 4.53 states/eV/f.u.
total DFT energy (no corrections) = -8.530 eV per atom
mass density = 7.9 g/cm3
space group = Pmmn, No. 59

```
16
Lattice="5.1251 0.0000 0.0000 0.0000 7.0367 0.0000 0.0000 0.0000 8.3897" Properties=species:S:1:pos:R:3 pbc="T T T"
N 0.3299 2.2268 1.9671
Pa 2.8922 5.7930 4.1949
N 0.3315 5.8570 4.1949
N 2.8924 4.8100 6.1619
N 2.8924 1.0058 4.1949
N 2.8940 1.1797 0.0000
Pm 2.8926 5.8305 0.0000
N 0.3299 6.0309 0.0000
Pm 0.3300 1.2062 4.1949
Pm 0.3300 4.6928 6.3302
Pa 0.3297 1.2437 0.0000
Pm 2.8926 2.3439 2.1353
N 2.8924 4.8100 2.2278
Pm 0.3300 4.6928 2.0595
Pm 2.8926 2.3439 6.2544
N 0.3299 2.2268 6.4226
```

Record 18
## Pm3PaN4 (GGA-PBE)

Data for a relaxed Pm3PaN4 crystal.

E_form (uncorrected) = -1.55 eV/atom
spin magnetization = 0.00 μB per formula unit
excess energy over the best structure of this formula in the dataset = 0.000 eV per atom
density of states at the Fermi level = 3.74 states/eV/f.u.
total DFT energy (no corrections) = -8.682 eV per atom
mass density = 9.2 g/cm3
space group = Cmmm, No. 65

```
8
Lattice="3.5890 0.0000 0.0000 0.0000 5.8588 -1.9932 0.0000 -0.0444 6.1884" Properties=species:S:1:pos:R:3 pbc="T T T"
N 0.0000 4.4940 3.2425
N 1.7945 1.3303 4.2832
Pm 1.7945 2.9072 2.0976
Pm 0.0000 -0.0222 3.0942
N 0.0000 1.3204 0.9527
Pm 0.0000 2.9294 -0.9966
Pa 1.7945 0.0000 0.0000
N 1.7945 4.4841 -0.0879
```

Record 19
## PmPa2N4 (GGA-PBE)

Data for a relaxed PmPa2N4 crystal.

E_form (uncorrected) = -1.59 eV/atom
spin magnetization = 0.00 μB per formula unit
density of states at the Fermi level = 2.09 states/eV/f.u.
total DFT energy (no corrections) = -9.738 eV per atom
mass density = 10.1 g/cm3
space group = Cmcm, No. 63

```
14
Lattice="3.4673 0.0000 0.0000 -1.7336 5.7898 0.0000 0.0000 0.0000 10.8149" Properties=species:S:1:pos:R:3 pbc="T T T"
N 1.7336 0.0000 0.0000
N 1.7336 3.1400 1.1394
N 0.0000 0.4351 2.7037
Pm 1.7336 1.2650 8.1112
N 0.0000 2.6498 6.5468
N 1.7336 3.1400 4.2681
N 1.7336 5.3548 8.1112
N 1.7336 0.0000 5.4075
Pa 1.7336 4.2740 10.0441
N 0.0000 2.6498 9.6755
Pa 0.0000 1.5158 4.6366
Pa 0.0000 1.5158 0.7708
Pa 1.7336 4.2740 6.1783
Pm 0.0000 4.5248 2.7037
```

Record 20
## PmPa6N12 (GGA-PBE)

Data for a relaxed PmPa6N12 crystal.

E_form (uncorrected) = -1.44 eV/atom
spin magnetization = 0.00 μB per formula unit
density of states at the Fermi level = 18.00 states/eV/f.u.
total DFT energy (no corrections) = -9.946 eV per atom
mass density = 9.9 g/cm3
space group = R-3, No. 148

```
19
Lattice="0.2882 1.3613 -6.5540 -0.1029 -6.6963 -0.2012 -6.4817 1.2334 1.1654" Properties=species:S:1:pos:R:3 pbc="T T T"
Pa -3.8698 -1.0538 -0.2605
N -2.8358 -3.1399 -0.7745
Pm 0.0000 0.0000 0.0000
Pa -5.4313 -0.6655 -3.6926
N -0.4071 -5.6029 -2.3055
Pa -4.5396 -4.3627 -1.9843
N -5.9563 -1.0261 0.5868
N -1.0283 -1.9043 -3.7171
N -5.8892 1.5014 -3.2843
Pa -0.8650 -3.4360 -1.8971
N -3.6867 0.1254 -2.2119
N -1.9129 1.2377 -5.6288
Pa -1.7568 0.2611 -3.6055
Pa -2.4265 -3.0477 -5.3293
N -0.3401 -3.0755 -6.1765
N -4.3834 -5.3393 0.0390
N -2.6096 -4.2269 -3.3779
N -5.2680 -2.1973 -1.8727
N -3.4605 -0.9617 -4.8152
```

These records have volume values of 112.3 130.8 104.2 163.6 111.3 121.5 113.5 125.8 125.0 109.8 123.6 79.2 165.6 81.4 196.2 184.2 151.3 129.8 108.6 285.1 Å³/f.u., in the order they appear.